The following is a GGA-PBE calculation of a geometry-optimized ZrP3O structure, from Alexandria.

Properties
**SG**: No. 221

Lattice parameters (Å, degrees): 4.9770 4.9770 4.9770 90.00 90.00 90.00
With the nearest neighbours (Å) after each atom.
Sites, in units of the cell vectors:
Zr  0.0000  0.0000  0.0000  6 P 2.49
P  0.0000  0.0000  0.5000  2 Zr 2.49
P  0.0000  0.5000  0.0000  2 Zr 2.49
P  0.5000  0.0000  0.0000  2 Zr 2.49
O  0.5000  0.5000  0.5000  12 P 3.52

=====

The following is a GGA-PBE calculation of a geometry-optimized ZrP2O2 structure, from Alexandria.

Properties
**SG**: No. 123

Lattice parameters (Å, degrees): 5.1545 5.1545 3.9701 90.00 90.00 90.00
With the nearest neighbours (Å) after each atom.
Sites, in units of the cell vectors:
Zr  0.0000  0.0000  0.0000  2 O 1.99
P  0.0000  0.5000  0.0000  2 Zr 2.58
P  0.5000  0.0000  0.0000  2 Zr 2.58
O  0.0000  0.0000  0.5000  2 Zr 1.99
O  0.5000  0.5000  0.5000  8 P 3.25

=====

The following is a GGA-PBE calculation of a geometry-optimized ZrP2O7 structure, from Alexandria.

Properties
**SG**: No. 58

Lattice parameters (Å, degrees): 6.8609 8.5627 5.4884 90.00 90.00 90.00
With the nearest neighbours (Å) after each atom.
Sites, in units of the cell vectors:
Zr  0.0000  0.0000  0.0000  6 O 2.09
Zr  0.5000  0.5000  0.5000  6 O 2.09
P  0.1884  0.3933  0.0000  4 O 1.52-1.58
P  0.3116  0.8933  0.5000  4 O 1.52-1.58
P  0.6884  0.1067  0.5000  4 O 1.52-1.58
P  0.8116  0.6067  0.0000  4 O 1.52-1.58
O  0.0000  0.5000  0.0000  2 P 1.58
O  0.1183  0.2248  0.0000  1 P 1.52
O  0.1987  0.9331  0.2694  1 P 1.52
O  0.1987  0.9331  0.7306  1 P 1.52
O  0.3013  0.4331  0.2306  1 P 1.52
O  0.3013  0.4331  0.7694  1 P 1.52
O  0.3817  0.7248  0.5000  1 P 1.52
O  0.5000  0.0000  0.5000  2 P 1.58
O  0.6183  0.2752  0.5000  1 P 1.52
O  0.6987  0.5669  0.2306  1 P 1.52
O  0.6987  0.5669  0.7694  1 P 1.52
O  0.8013  0.0669  0.2694  1 P 1.52
O  0.8013  0.0669  0.7306  1 P 1.52
O  0.8817  0.7752  0.0000  1 P 1.52

=====

The following is a GGA-PBE calculation of a geometry-optimized ZrP2O2 structure, from Alexandria.

Properties
**SG**: No. 123

Lattice parameters (Å, degrees): 3.5975 3.5975 5.0221 90.00 90.00 90.00
With the nearest neighbours (Å) after each atom.
Sites, in units of the cell vectors:
Zr  0.0000  0.0000  0.0000  4 O 2.54
P  0.0000  0.5000  0.5000  2 O 1.80
P  0.5000  0.0000  0.5000  2 O 1.80
O  0.5000  0.5000  0.0000  2 O 2.51, 4 Zr 2.54
O  0.5000  0.5000  0.5000  4 P 1.80

=====

The following is a GGA-PBE calculation of a geometry-optimized Zr6P2O structure, from Alexandria.

Properties
**SG**: No. 12

Lattice parameters (Å, degrees): 5.7198 5.7198 8.4026 91.86 91.86 36.05
With the nearest neighbours (Å) after each atom.
Sites, in units of the cell vectors:
Zr  0.0626  0.0626  0.2448  1 O 2.27
Zr  0.3596  0.3596  0.0595  3 P 2.68-2.82
Zr  0.3618  0.3618  0.4502  2 O 2.35
Zr  0.6382  0.6382  0.5498  2 O 2.35
Zr  0.6404  0.6404  0.9405  3 P 2.68-2.82
Zr  0.9374  0.9374  0.7552  1 O 2.27
P  0.2484  0.2484  0.7508  8 Zr 2.68-2.85
P  0.7516  0.7516  0.2492  8 Zr 2.68-2.85
O  0.0000  0.0000  0.5000  6 Zr 2.27-2.35

=====

The following is a GGA-PBE calculation of a geometry-optimized Zr2P2O9 structure, from Alexandria.

Properties
**SG**: No. 12

Lattice parameters (Å, degrees): 7.7665 7.7665 10.3597 127.03 127.03 50.90
With the nearest neighbours (Å) after each atom.
Sites, in units of the cell vectors:
Zr  0.0568  0.0568  0.4028  6 O 2.04-2.20
Zr  0.3154  0.3154  0.8641  5 O 2.08-2.29
Zr  0.6846  0.6846  0.1359  5 O 2.08-2.29
Zr  0.9432  0.9432  0.5972  6 O 2.04-2.20
P  0.1703  0.1703  0.0382  4 O 1.54-1.55
P  0.4058  0.4058  0.6667  4 O 1.52-1.57
P  0.5942  0.5942  0.3333  4 O 1.52-1.57
P  0.8297  0.8297  0.9618  4 O 1.54-1.55
O  0.0035  0.6264  0.8637  1 P 1.54
O  0.0351  0.0351  0.8551  1 P 1.55
O  0.1133  0.1133  0.6551  3 Zr 2.04-2.17
O  0.2395  0.6155  0.6059  1 P 1.52
O  0.2672  0.2672  0.6010  1 P 1.57
O  0.2724  0.2724  0.0221  1 P 1.55
O  0.3736  0.9965  0.1363  1 P 1.54
O  0.3845  0.7605  0.3941  1 P 1.52
O  0.4832  0.4832  0.8664  1 P 1.57
O  0.5168  0.5168  0.1336  1 P 1.57
O  0.6155  0.2395  0.6059  1 P 1.52
O  0.6264  0.0035  0.8637  1 P 1.54
O  0.7276  0.7276  0.9779  1 P 1.55
O  0.7328  0.7328  0.3990  1 P 1.57
O  0.7605  0.3845  0.3941  1 P 1.52
O  0.8867  0.8867  0.3449  3 Zr 2.04-2.17
O  0.9649  0.9649  0.1449  1 P 1.55
O  0.9965  0.3736  0.1363  1 P 1.54

=====

The following is a GGA-PBE calculation of a geometry-optimized ZrP3O9 structure, from Alexandria.

Properties
**SG**: No. 9

Lattice parameters (Å, degrees): 7.8192 7.8192 10.2207 123.29 123.29 51.89
With the nearest neighbours (Å) after each atom.
Sites, in units of the cell vectors:
Zr  0.2409  0.7591  0.5000  6 O 2.14-2.24
Zr  0.7591  0.2409  0.0000  6 O 2.14-2.24
P  0.0480  0.2521  0.8350  4 O 1.50-1.61
P  0.2521  0.0480  0.3350  4 O 1.50-1.61
P  0.2565  0.4522  0.6695  4 O 1.50-1.62
P  0.4522  0.2565  0.1695  4 O 1.50-1.62
P  0.6696  0.8228  0.2386  4 O 1.50-1.59
P  0.8228  0.6696  0.7386  4 O 1.50-1.59
O  0.0942  0.1539  0.1995  1 P 1.50
O  0.1539  0.0942  0.6995  1 P 1.50
O  0.1997  0.8991  0.3420  1 P 1.50
O  0.2327  0.3000  0.0112  2 P 1.59
O  0.2619  0.6334  0.6596  1 P 1.50
O  0.3000  0.2327  0.5112  2 P 1.59
O  0.3790  0.4098  0.3209  1 P 1.50
O  0.4098  0.3790  0.8209  1 P 1.50
O  0.5103  0.8980  0.3289  2 P 1.58-1.61
O  0.5313  0.9932  0.1368  2 P 1.59-1.62
O  0.5901  0.7006  0.6136  1 P 1.50
O  0.6334  0.2619  0.1596  1 P 1.50
O  0.7006  0.5901  0.1136  1 P 1.50
O  0.8446  0.8831  0.8706  1 P 1.50
O  0.8831  0.8446  0.3706  1 P 1.50
O  0.8980  0.5103  0.8289  2 P 1.58-1.61
O  0.8991  0.1997  0.8420  1 P 1.50
O  0.9932  0.5313  0.6368  2 P 1.59-1.62

=====

The following is a GGA-PBE calculation of a geometry-optimized Zr3PO2 structure, from Alexandria.

Properties
**SG**: No. 164

Lattice parameters (Å, degrees): 3.4345 3.4345 8.4711 90.00 90.00 120.00
With the nearest neighbours (Å) after each atom.
Sites, in units of the cell vectors:
Zr  0.0000  0.0000  0.0000  6 O 2.31
Zr  0.3333  0.6667  0.3028  3 O 2.41, 3 P 2.59
Zr  0.6667  0.3333  0.6972  3 O 2.41, 3 P 2.59
P  0.0000  0.0000  0.5000  6 Zr 2.59
O  0.3333  0.6667  0.8594  6 Zr 2.31-2.41
O  0.6667  0.3333  0.1406  6 Zr 2.31-2.41

=====

The following is a GGA-PBE calculation of a geometry-optimized ZrP2O2 structure, from Alexandria.

Properties
**SG**: No. 123

Lattice parameters (Å, degrees): 3.9760 3.9760 5.8667 90.00 90.00 90.00
With the nearest neighbours (Å) after each atom.
Sites, in units of the cell vectors:
Zr  0.0000  0.0000  0.0000  4 O 1.99
P  0.0000  0.0000  0.5000  4 P 2.81, 2 Zr 2.93
P  0.5000  0.5000  0.5000  4 P 2.81
O  0.0000  0.5000  0.0000  2 Zr 1.99
O  0.5000  0.0000  0.0000  2 Zr 1.99

=====

The following is a GGA-PBE calculation of a geometry-optimized ZrPO4 structure, from Alexandria.

Properties
**SG**: No. 112

Lattice parameters (Å, degrees): 4.5403 4.5403 9.2195 90.00 90.00 90.00
With the nearest neighbours (Å) after each atom.
Sites, in units of the cell vectors:
Zr  0.0000  0.0000  0.0000  4 O 2.11
Zr  0.0000  0.0000  0.5000  4 O 2.11
P  0.0000  0.5000  0.2500  4 O 1.56
P  0.5000  0.0000  0.7500  4 O 1.56
O  0.1886  0.2967  0.3497  1 P 1.56
O  0.1886  0.7033  0.1503  1 P 1.56
O  0.2967  0.1886  0.8497  1 P 1.56
O  0.2967  0.8114  0.6503  1 P 1.56
O  0.7033  0.1886  0.6503  1 P 1.56
O  0.7033  0.8114  0.8497  1 P 1.56
O  0.8114  0.2967  0.1503  1 P 1.56
O  0.8114  0.7033  0.3497  1 P 1.56

=====

The following is a GGA-PBE calculation of a geometry-optimized ZrPO3 structure, from Alexandria.

Properties
**SG**: No. 221

Lattice parameters (Å, degrees): 3.7709 3.7709 3.7709 90.00 90.00 90.00
With the nearest neighbours (Å) after each atom.
Sites, in units of the cell vectors:
Zr  0.0000  0.0000  0.0000  12 O 2.67
P  0.5000  0.5000  0.5000  6 O 1.89
O  0.0000  0.5000  0.5000  2 P 1.89
O  0.5000  0.0000  0.5000  2 P 1.89
O  0.5000  0.5000  0.0000  2 P 1.89

=====

The following is a GGA-PBE calculation of a geometry-optimized Pa3O8 structure, from Alexandria.

Properties
**SG**: No. 221

Lattice parameters (Å, degrees): 5.3720 5.3720 5.3720 90.00 90.00 90.00
With the nearest neighbours (Å) after each atom.
Sites, in units of the cell vectors:
Pa  0.0000  0.0000  0.5000  8 O 2.29
Pa  0.0000  0.5000  0.0000  8 O 2.29
Pa  0.5000  0.0000  0.0000  8 O 2.29
O  0.2375  0.2375  0.2375  3 Pa 2.29, 3 O 2.55
O  0.2375  0.2375  0.7625  3 Pa 2.29, 3 O 2.55
O  0.2375  0.7625  0.2375  3 Pa 2.29, 3 O 2.55
O  0.2375  0.7625  0.7625  3 Pa 2.29, 3 O 2.55
O  0.7625  0.2375  0.2375  3 Pa 2.29, 3 O 2.55
O  0.7625  0.2375  0.7625  3 Pa 2.29, 3 O 2.55
O  0.7625  0.7625  0.2375  3 Pa 2.29, 3 O 2.55
O  0.7625  0.7625  0.7625  3 Pa 2.29, 3 O 2.55

=====

Record order is preserved below.
ΔE_f (raw): 1.0255 0.2550 -2.6172 -0.4511 -1.3041 -2.8143 -2.2799 -1.8548 -0.9185 -2.2621 -1.0779 -3.3253 eV per atom